The following is a GGA-PBE calculation of a relaxed structure of AlAs3Os, from the Alexandria database.

```
AlAs3Os
1.0
4.837 0.000 0.000
0.000 4.837 0.000
0.000 0.000 4.837
As Os Al
3 1 1
Cartesian
0.000 2.419 0.000
0.000 0.000 2.419
2.419 0.000 0.000
0.000 0.000 0.000
2.419 2.419 2.419
```

Symmetry: No. 221
Energy of formation from the pure elements in meV per atom: 742
Excess energy over the best structure of this formula in the dataset in eV/f.u.: 0.00
Uncorrected energy in eV per atom: -5.042
Magnetization in μB/f.u.: 0.000